# Sr2FeCoO6

Crystalline Sr2FeCoO6 at its relaxed geometry (GGA+U, Alexandria).

Summary:
* spin magnetization: 7.190 μB per formula unit
* density of states at the Fermi level: 6.7 states/eV/f.u.
* volume: 11.75 Å³/atom
* SG: P4/mmm (123)
* calculated total energy: -6.130 eV/atom

Cell lengths 3.867, 3.867, 7.857 Å; angles 90.00, 90.00, 90.00 degrees
Fractional positions:
1 Sr 0.000 0.000 0.248
2 Sr 0.000 0.000 0.752
3 Fe 0.500 0.500 0.500
4 Co 0.500 0.500 0.000
5 O 0.000 0.500 0.000
6 O 0.000 0.500 0.500
7 O 0.500 0.000 0.000
8 O 0.500 0.000 0.500
9 O 0.500 0.500 0.250
10 O 0.500 0.500 0.750